Compound: CsCu2Sb2Te6
Source: Alexandria
Functional: PBE
Structure: relaxed

Calculated values
- Symmetry: P-1 (2)

Geometry as POSCAR:
```
CsCu2Sb2Te6
1.0
9.0989 -0.0274 -0.8636
4.6031 6.2962 -0.4796
-0.8770 -3.2935 7.6133
Sb Te Cs Cu
2 6 1 2
Cartesian
8.1576 -1.1387 4.9394 Sb
4.6674 4.1140 1.3306 Sb
1.5219 -1.7642 7.2296 Te
11.3030 4.7396 -0.9596 Te
6.8034 1.5603 -0.5540 Te
3.1142 2.8140 3.9244 Te
9.7107 0.1613 2.3457 Te
6.0216 1.4150 6.8240 Te
4.1109 -1.6604 3.3749 Cs
3.5635 1.8821 6.3251 Cu
9.2615 1.0932 -0.0551 Cu
```

Compound: Cs2Cu2SbTe4
Source: Alexandria
Functional: PBE
Structure: relaxed

Calculated values
- Symmetry: P-1 (2)

Geometry as POSCAR:
```
Cs2Cu2SbTe4
1.0
-3.8868 1.0807 -0.2786
4.2335 -2.2513 -9.1147
-2.6048 -7.2830 8.0497
Cs Te Cu Sb
2 4 2 1
Cartesian
1.4621 -3.0668 -2.9498 Cs
-3.7203 -5.3868 1.6062 Cs
-2.1995 -6.5766 5.0626 Te
-0.0586 -1.8770 -6.4061 Te
-1.3973 -5.4380 -1.6986 Te
-0.8608 -3.0156 0.3551 Te
0.2344 -7.3941 -2.7280 Cu
-2.4926 -1.0595 1.3844 Cu
0.0000 0.0000 0.0000 Sb
```

| no. | uncorrected formation energy (meV/atom) |
| --- | --- |
| 1 | -175 |
| 2 | -359 |